[1]
First-principles (PBE-GGA) data for a relaxed GaCo2SeS2 crystal, as listed in the Open Quantum Materials Database. Values from VASP.

```
&SYSTEM
  ibrav = 0, nat = 12, ntyp = 4
/
ATOMIC_SPECIES
S 32.06 S.upf
Co 58.93 Co.upf
Ga 69.72 Ga.upf
Se 78.96 Se.upf
ATOMIC_POSITIONS crystal
S 0.4628 0.2955 0.6234
Co 0.7367 0.2618 0.4853
Co 0.5467 0.3842 0.9857
S 0.5945 0.1163 0.1208
Ga 0.9098 0.0956 0.0101
S 0.1163 0.5945 0.6208
Se 0.7578 0.9441 0.6040
S 0.2955 0.4628 0.1234
Co 0.2618 0.7367 0.9853
Se 0.9441 0.7578 0.1040
Co 0.3842 0.5467 0.4857
Ga 0.0956 0.9098 0.5101
CELL_PARAMETERS angstrom
-4.0745 4.6863 -1.8893
0.5456 -1.4221 6.3097
5.6147 2.9920 -0.9348
```

[2]
First-principles (PBE-GGA) data for a relaxed Sm3GaCoS7 crystal, as listed in the Open Quantum Materials Database. Values from VASP.

```
&SYSTEM
  ibrav = 0, nat = 24, ntyp = 4
/
ATOMIC_SPECIES
Sm 150.36 Sm.upf
S 32.06 S.upf
Co 58.93 Co.upf
Ga 69.72 Ga.upf
ATOMIC_POSITIONS crystal
Sm 0.1549 0.7813 0.1742
S 0.9127 0.4799 0.9471
S 0.5671 0.0873 0.9471
Sm 0.2187 0.3736 0.1742
S 0.7812 0.9072 0.7672
Co 0.0000 0.0000 0.0138
Co 0.0000 0.0000 0.5138
S 0.0873 0.5201 0.4471
Ga 0.3333 0.6667 0.5977
Sm 0.3736 0.1549 0.6742
S 0.9072 0.1260 0.2672
S 0.4799 0.5671 0.4471
S 0.6667 0.3333 0.4619
Ga 0.6667 0.3333 0.0977
S 0.1260 0.2188 0.7672
S 0.4329 0.9127 0.4471
S 0.0928 0.8740 0.7672
S 0.3333 0.6667 0.9619
Sm 0.8451 0.2187 0.6742
S 0.5201 0.4329 0.9471
S 0.8740 0.7812 0.2672
S 0.2188 0.0928 0.2672
Sm 0.6264 0.8451 0.1742
Sm 0.7813 0.6264 0.6742
CELL_PARAMETERS angstrom
9.7136 0.0000 0.0000
-4.8568 8.4122 0.0000
0.0000 0.0000 6.1837
```

[3]
First-principles (PBE-GGA) data for a relaxed GaCoSb2 crystal, as listed in the Open Quantum Materials Database. Values from VASP.

```
&SYSTEM
  ibrav = 0, nat = 4, ntyp = 3
/
ATOMIC_SPECIES
Ga 69.72 Ga.upf
Co 58.93 Co.upf
Sb 121.76 Sb.upf
ATOMIC_POSITIONS crystal
Ga 0.5000 0.5000 0.5000
Co 0.2500 0.2500 0.2500
Sb 0.0000 0.0000 0.0000
Sb 0.7500 0.7500 0.7500
CELL_PARAMETERS angstrom
-1.7247 -2.8589 3.5521
-4.0833 -2.5682 -0.7043
0.2177 -4.8491 -0.4518
```

[4]
First-principles (PBE-GGA) data for a relaxed Ta2GaCo2Sb crystal, as listed in the Open Quantum Materials Database. Values from VASP.

```
&SYSTEM
  ibrav = 0, nat = 12, ntyp = 4
/
ATOMIC_SPECIES
Co 58.93 Co.upf
Ga 69.72 Ga.upf
Ta 180.95 Ta.upf
Sb 121.76 Sb.upf
ATOMIC_POSITIONS crystal
Co 0.3752 0.1252 0.0002
Ga 0.2500 0.7500 0.5000
Co 0.1250 0.3750 0.5002
Co 0.8748 0.6248 0.9998
Co 0.6250 0.8750 0.4998
Ta 0.4929 0.5071 0.5000
Sb 0.7500 0.2500 0.5000
Ta 0.7571 0.2429 0.0000
Ta 0.2429 0.7571 0.0000
Ga 0.0000 0.0000 0.0000
Ta 0.0071 0.9929 0.5000
Sb 0.5000 0.5000 0.0000
CELL_PARAMETERS angstrom
-2.5778 5.3752 3.9529
-4.7501 -1.6903 -5.0738
1.8991 -4.5729 3.1223
```

[5]
First-principles (PBE-GGA) data for a relaxed ScGa2Co crystal, as listed in the Open Quantum Materials Database. Values from VASP.

```
&SYSTEM
  ibrav = 0, nat = 4, ntyp = 3
/
ATOMIC_SPECIES
Ga 69.72 Ga.upf
Sc 44.96 Sc.upf
Co 58.93 Co.upf
ATOMIC_POSITIONS crystal
Ga 0.7500 0.7500 0.7500
Sc 0.2500 0.2500 0.2500
Co 0.0000 0.0000 0.0000
Ga 0.5000 0.5000 0.5000
CELL_PARAMETERS angstrom
-3.8300 -1.9557 -0.9013
-3.7607 2.2315 0.4285
-2.2785 1.1714 -3.5696
```

[6]
First-principles (PBE-GGA) data for a relaxed Sc2GaCo crystal, as listed in the Open Quantum Materials Database. Values from VASP.

```
&SYSTEM
  ibrav = 0, nat = 4, ntyp = 3
/
ATOMIC_SPECIES
Co 58.93 Co.upf
Sc 44.96 Sc.upf
Ga 69.72 Ga.upf
ATOMIC_POSITIONS crystal
Co 0.2500 0.2500 0.2500
Sc 0.7500 0.7500 0.7500
Ga 0.0000 0.0000 0.0000
Sc 0.5000 0.5000 0.5000
CELL_PARAMETERS angstrom
0.0000 3.1747 3.1747
3.1747 0.0000 3.1747
3.1747 3.1747 0.0000
```

[7]
First-principles (PBE-GGA) data for a relaxed ScGaCo crystal, as listed in the Open Quantum Materials Database. Values from VASP.

```
&SYSTEM
  ibrav = 0, nat = 3, ntyp = 3
/
ATOMIC_SPECIES
Co 58.93 Co.upf
Ga 69.72 Ga.upf
Sc 44.96 Sc.upf
ATOMIC_POSITIONS crystal
Co 0.0000 0.0000 0.0000
Ga 0.2500 0.2500 0.2500
Sc 0.7500 0.7500 0.7500
CELL_PARAMETERS angstrom
0.0000 2.9647 2.9647
2.9647 0.0000 2.9647
2.9647 2.9647 0.0000
```

[8]
First-principles (PBE-GGA) data for a relaxed ScGaCo crystal, as listed in the Open Quantum Materials Database. Values from VASP.

```
&SYSTEM
  ibrav = 0, nat = 3, ntyp = 3
/
ATOMIC_SPECIES
Sc 44.96 Sc.upf
Ga 69.72 Ga.upf
Co 58.93 Co.upf
ATOMIC_POSITIONS crystal
Sc 0.0000 0.0000 0.0000
Ga 0.7500 0.7500 0.7500
Co 0.2500 0.2500 0.2500
CELL_PARAMETERS angstrom
0.0000 3.0437 3.0437
3.0437 0.0000 3.0437
3.0437 3.0437 0.0000
```

[9]
First-principles (PBE-GGA) data for a relaxed ScGa2Co crystal, as listed in the Open Quantum Materials Database. Values from VASP.

```
&SYSTEM
  ibrav = 0, nat = 4, ntyp = 3
/
ATOMIC_SPECIES
Co 58.93 Co.upf
Sc 44.96 Sc.upf
Ga 69.72 Ga.upf
ATOMIC_POSITIONS crystal
Co 0.2500 0.2500 0.2500
Sc 0.5000 0.5000 0.5000
Ga 0.0000 0.0000 0.0000
Ga 0.7500 0.7500 0.7500
CELL_PARAMETERS angstrom
-1.9117 -3.9427 0.3886
-4.3862 -0.3316 -0.0444
-2.0342 -1.8082 -3.4558
```

[10]
First-principles (PBE-GGA) data for a relaxed ScTaGaCo crystal, as listed in the Open Quantum Materials Database. Values from VASP.

```
&SYSTEM
  ibrav = 0, nat = 4, ntyp = 4
/
ATOMIC_SPECIES
Ta 180.95 Ta.upf
Sc 44.96 Sc.upf
Co 58.93 Co.upf
Ga 69.72 Ga.upf
ATOMIC_POSITIONS crystal
Ta 0.5000 0.5000 0.5000
Sc 0.2500 0.2500 0.2500
Co 0.7500 0.7500 0.7500
Ga 0.0000 0.0000 0.0000
CELL_PARAMETERS angstrom
0.0000 3.1583 3.1583
3.1583 0.0000 3.1583
3.1583 3.1583 0.0000
```

[11]
First-principles (PBE-GGA) data for a relaxed ScGaCoTc crystal, as listed in the Open Quantum Materials Database. Values from VASP.

```
&SYSTEM
  ibrav = 0, nat = 4, ntyp = 4
/
ATOMIC_SPECIES
Ga 69.72 Ga.upf
Sc 44.96 Sc.upf
Co 58.93 Co.upf
Tc 98.00 Tc.upf
ATOMIC_POSITIONS crystal
Ga 0.0000 0.0000 0.0000
Sc 0.2500 0.2500 0.2500
Co 0.7500 0.7500 0.7500
Tc 0.5000 0.5000 0.5000
CELL_PARAMETERS angstrom
3.7844 -0.0218 2.2842
1.3721 3.6742 2.0389
-0.0806 0.2402 4.4131
```

[12]
First-principles (PBE-GGA) data for a relaxed ScGaCoTc crystal, as listed in the Open Quantum Materials Database. Values from VASP.

```
&SYSTEM
  ibrav = 0, nat = 4, ntyp = 4
/
ATOMIC_SPECIES
Tc 98.00 Tc.upf
Co 58.93 Co.upf
Ga 69.72 Ga.upf
Sc 44.96 Sc.upf
ATOMIC_POSITIONS crystal
Tc 0.2500 0.2500 0.2500
Co 0.7500 0.7500 0.7500
Ga 0.0000 0.0000 0.0000
Sc 0.5000 0.5000 0.5000
CELL_PARAMETERS angstrom
0.0000 3.0734 3.0734
3.0734 0.0000 3.0734
3.0734 3.0734 0.0000
```

no.,energy (eV/atom)
1,-5.145
2,-5.900
3,-4.056
4,-7.870
5,-5.139
6,-6.026
7,-5.784
8,-5.138
9,-5.139
10,-7.012
11,-6.727
12,-6.882